Compound: ZrFeOs2
Source: Alexandria
Functional: PBEsol
Structure: optimized geometry

Calculated values
DFT total energy (eV/atom): -10.557
Formation enthalpy at 0 K (eV per atom): 0.06
Relative energy among the computed polymorphs (meV per atom): 0

Lattice parameters (Å, degrees): 2.816 4.560 4.882 103.54 106.76 90.00
Sites, in units of the cell vectors:
Fe (0.000, 0.500, 0.000)
Os (0.274, 0.278, 0.548)
Os (0.726, 0.722, 0.452)
Zr (0.500, 0.000, 0.000)

=====

Compound: NaZnI2O
Source: Alexandria
Functional: PBEsol
Structure: optimized geometry

Calculated values
DFT total energy (eV/atom): -2.130
Formation energy without anion corrections (eV per atom): 0.2234

Lattice parameters (Å, degrees): 4.179 5.707 5.707 90.00 90.00 90.00
Site moments in Bohr magnetons follow the coordinates.
Sites, in units of the cell vectors:
I (0.000, 0.000, 0.500)  0.11
I (0.000, 0.500, 0.000)  0.11
Na (0.000, 0.000, 0.000)  -0.01
Zn (0.500, 0.500, 0.500)  -0.02
O (0.500, 0.000, 0.000)  1.03

=====

Compound: Ba2TiTcNi
Source: Alexandria
Functional: PBEsol
Structure: optimized geometry

Calculated values
DFT total energy (eV/atom): -4.814
Formation enthalpy at 0 K (eV per atom): 1.19

Lattice parameters (Å, degrees): 4.433 5.771 5.771 90.00 90.00 90.00
Site moments in Bohr magnetons follow the coordinates.
Sites, in units of the cell vectors:
Ni (0.500, 0.000, 0.000)  -0.06
Ti (0.500, 0.500, 0.500)  1.95
Ba (0.000, 0.000, 0.500)  0.08
Ba (0.000, 0.500, 0.000)  0.08
Tc (0.000, 0.000, 0.000)  -0.09

=====

Compound: CoBi2Os
Source: Alexandria
Functional: PBEsol
Structure: optimized geometry

Calculated values
DFT total energy (eV/atom): -5.968
Formation enthalpy at 0 K (eV per atom): 1.16

Lattice parameters (Å, degrees): 5.907 5.907 7.237 114.08 114.08 90.00
Sites, in units of the cell vectors:
Co (0.750, 0.250, 0.500)
Co (0.500, 0.500, 0.000)
Os (0.250, 0.750, 0.500)
Os (0.000, 0.000, 0.000)
Bi (0.393, 0.875, 0.250)
Bi (0.857, 0.375, 0.250)
Bi (0.125, 0.143, 0.750)
Bi (0.625, 0.607, 0.750)

=====

Compound: Zn2NiMo
Source: Alexandria
Functional: PBEsol
Structure: optimized geometry

Calculated values
DFT total energy (eV/atom): -5.115
Formation enthalpy at 0 K (eV per atom): 0.16
Relative energy among the computed polymorphs (meV per atom): 199

Lattice parameters (Å, degrees): 2.675 4.444 4.444 90.00 90.00 90.00
Sites, in units of the cell vectors:
Mo (0.500, 0.500, 0.500)
Ni (0.500, 0.000, 0.000)
Zn (0.000, 0.000, 0.500)
Zn (0.000, 0.500, 0.000)

=====

Compound: LiHg5
Source: Alexandria
Functional: PBEsol
Structure: optimized geometry

Calculated values
DFT total energy (eV/atom): -0.941
Formation enthalpy at 0 K (eV per atom): -0.14
Relative energy among the computed polymorphs (meV per atom): 16

Lattice parameters (Å, degrees): 3.406 5.003 7.922 90.00 102.41 90.00
Sites, in units of the cell vectors:
Hg (0.002, 0.000, 0.004)
Hg (0.334, 0.000, 0.667)
Hg (0.663, 0.000, 0.325)
Hg (0.453, 0.500, 0.906)
Hg (0.771, 0.500, 0.541)
Li (0.111, 0.500, 0.223)

=====

Compound: CuSiRh2
Source: Alexandria
Functional: PBEsol
Structure: optimized geometry

Calculated values
DFT total energy (eV/atom): -7.170
Formation energy without anion corrections (eV per atom): -0.5801

Lattice parameters (Å, degrees): 4.117 4.117 4.117 60.00 60.00 60.00
Sites, in units of the cell vectors:
Si (0.500, 0.500, 0.500)
Rh (0.250, 0.250, 0.250)
Rh (0.750, 0.750, 0.750)
Cu (0.000, 0.000, 0.000)

=====

Compound: TlCdRh2
Source: Alexandria
Functional: PBEsol
Structure: optimized geometry

Calculated values
DFT total energy (eV/atom): -5.069
Formation enthalpy at 0 K (eV per atom): -0.04
Relative energy among the computed polymorphs (meV per atom): 0

Lattice parameters (Å, degrees): 4.526 4.526 4.526 60.00 60.00 60.00
Sites, in units of the cell vectors:
Tl (0.000, 0.000, 0.000)
Rh (0.750, 0.750, 0.750)
Rh (0.250, 0.250, 0.250)
Cd (0.500, 0.500, 0.500)

=====

Compound: MnPt2W
Source: Alexandria
Functional: PBEsol
Structure: optimized geometry

Calculated values
DFT total energy (eV/atom): -9.544
Formation enthalpy at 0 K (eV per atom): -0.17
Relative energy among the computed polymorphs (meV per atom): 79

Lattice parameters (Å, degrees): 2.735 4.721 4.771 100.26 90.00 106.84
Site moments in Bohr magnetons follow the coordinates.
Sites, in units of the cell vectors:
Mn (0.753, 0.506, 0.239)  3.00
Pt (0.004, 0.009, 0.018)  -0.23
Pt (0.247, 0.495, 0.732)  0.08
W (0.495, 0.991, 0.510)  0.07

=====

Compound: K2SiCl
Source: Alexandria
Functional: PBEsol
Structure: optimized geometry

Calculated values
DFT total energy (eV/atom): -2.774
Formation energy without anion corrections (eV per atom): -0.2691
Relative energy among the computed polymorphs (meV per atom): 196

Lattice parameters (Å, degrees): 5.637 5.637 5.637 60.00 60.00 60.00
Site moments in Bohr magnetons follow the coordinates.
Sites, in units of the cell vectors:
Cl (0.500, 0.500, 0.500)  0.10
K (0.250, 0.250, 0.250)  0.04
K (0.750, 0.750, 0.750)  0.04
Si (0.000, 0.000, 0.000)  0.71

=====

Compound: LiSmSe2
Source: Alexandria
Functional: PBEsol
Structure: optimized geometry

Calculated values
DFT total energy (eV/atom): -5.292
Formation energy without anion corrections (eV per atom): -1.6022

Lattice parameters (Å, degrees): 4.095 4.095 5.629 90.00 90.00 90.00
Sites, in units of the cell vectors:
Sm (0.500, 0.500, 0.500)
Se (0.000, 0.000, 0.500)
Se (0.500, 0.500, 0.000)
Li (0.000, 0.000, 0.000)

=====

Compound: HfTcSnOs2
Source: Alexandria
Functional: PBEsol
Structure: optimized geometry

Calculated values
DFT total energy (eV/atom): -8.756
Formation enthalpy at 0 K (eV per atom): 1.34

Lattice parameters (Å, degrees): 4.650 4.650 4.823 90.00 90.00 90.00
Sites, in units of the cell vectors:
Hf (0.000, 0.000, 0.500)
Os (0.000, 0.500, 0.000)
Os (0.500, 0.000, 0.000)
Sn (0.500, 0.500, 0.500)
Tc (0.000, 0.000, 0.000)

=====

Compound: TaTcHg2
Source: Alexandria
Functional: PBEsol
Structure: optimized geometry

Calculated values
DFT total energy (eV/atom): -5.932
Formation enthalpy at 0 K (eV per atom): 0.31
Relative energy among the computed polymorphs (meV per atom): 0

Lattice parameters (Å, degrees): 3.291 4.773 5.440 116.02 107.61 90.00
Sites, in units of the cell vectors:
Hg (0.991, 0.991, 0.981)
Hg (0.755, 0.255, 0.511)
Ta (0.526, 0.526, 0.053)
Tc (0.228, 0.728, 0.455)

=====

Compound: PmLuMg2
Source: Alexandria
Functional: PBEsol
Structure: optimized geometry

Calculated values
DFT total energy (eV/atom): -3.429
Formation enthalpy at 0 K (eV per atom): -0.07

Lattice parameters (Å, degrees): 5.297 5.297 5.297 60.00 60.00 60.00
Sites, in units of the cell vectors:
Mg (0.250, 0.250, 0.250)
Mg (0.750, 0.750, 0.750)
Lu (0.500, 0.500, 0.500)
Pm (0.000, 0.000, 0.000)

=====

Compound: CaSc2Co
Source: Alexandria
Functional: PBEsol
Structure: optimized geometry

Calculated values
DFT total energy (eV/atom): -5.425
Formation enthalpy at 0 K (eV per atom): 0.35
Relative energy among the computed polymorphs (meV per atom): 266

Lattice parameters (Å, degrees): 4.194 4.098 4.685 90.00 90.00 90.00
Sites, in units of the cell vectors:
Sc (0.000, 0.000, 0.000)
Sc (0.500, 0.000, 0.500)
Ca (0.500, 0.500, 0.000)
Co (0.000, 0.500, 0.500)

=====

Compound: Ta2SiHgRh
Source: Alexandria
Functional: PBEsol
Structure: optimized geometry

Calculated values
DFT total energy (eV/atom): -5.723
Formation energy without anion corrections (eV per atom): 2.1875

Lattice parameters (Å, degrees): 4.791 4.930 4.930 90.00 90.00 90.00
Sites, in units of the cell vectors:
Si (0.500, 0.500, 0.500)
Rh (0.500, 0.000, 0.000)
Hg (0.000, 0.000, 0.000)
Ta (0.000, 0.000, 0.500)
Ta (0.000, 0.500, 0.000)

=====

Compound: SbTe2RuAu
Source: Alexandria
Functional: PBEsol
Structure: optimized geometry

Calculated values
DFT total energy (eV/atom): -4.490
Formation energy without anion corrections (eV per atom): 0.6507
Relative energy among the computed polymorphs (meV per atom): 0

Lattice parameters (Å, degrees): 4.961 5.127 5.127 90.00 90.00 90.00
Sites, in units of the cell vectors:
Sb (0.500, 0.000, 0.000)
Te (0.000, 0.000, 0.500)
Te (0.000, 0.500, 0.000)
Au (0.500, 0.500, 0.500)
Ru (0.000, 0.000, 0.000)

=====

Compound: K4TlSe
Source: Alexandria
Functional: PBEsol
Structure: optimized geometry

Calculated values
DFT total energy (eV/atom): -1.745
Formation energy without anion corrections (eV per atom): 0.0902

Lattice parameters (Å, degrees): 6.942 6.942 6.942 60.00 60.00 60.00
Site moments in Bohr magnetons follow the coordinates.
Sites, in units of the cell vectors:
K (0.377, 0.377, 0.377)  0.01
K (0.377, 0.377, 0.869)  0.01
K (0.869, 0.377, 0.377)  0.01
K (0.377, 0.869, 0.377)  0.01
Se (0.750, 0.750, 0.750)  0.02
Tl (0.000, 0.000, 0.000)  0.08

=====

Compound: SrTa2Au
Source: Alexandria
Functional: PBEsol
Structure: optimized geometry

Calculated values
DFT total energy (eV/atom): -7.054
Formation enthalpy at 0 K (eV per atom): 0.66
Relative energy among the computed polymorphs (meV per atom): 198

Lattice parameters (Å, degrees): 4.074 4.074 5.774 110.66 110.66 90.00
Sites, in units of the cell vectors:
Au (0.500, 0.500, 0.000)
Sr (0.000, 0.000, 0.000)
Ta (0.750, 0.250, 0.500)
Ta (0.250, 0.750, 0.500)

=====

Compound: KIrAu2
Source: Alexandria
Functional: PBEsol
Structure: optimized geometry

Calculated values
DFT total energy (eV/atom): -4.213
Formation enthalpy at 0 K (eV per atom): 0.49
Relative energy among the computed polymorphs (meV per atom): 88

Lattice parameters (Å, degrees): 2.674 5.467 6.335 115.56 102.19 90.00
Sites, in units of the cell vectors:
Au (0.791, 0.791, 0.581)
Au (0.209, 0.209, 0.419)
Ir (0.500, 0.000, 0.000)
K (0.000, 0.500, 0.000)